# 1
A plane-wave DFT calculation with PBE was carried out for Sm3TlH after structural relaxation.

```
Sm3TlH
1.0
3.765 0.000 0.000
0.000 8.888 0.000
0.000 0.000 15.053
Sm H Tl
12 4 4
direct
0.750 0.981 0.900
0.250 0.668 0.990
0.250 0.519 0.400
0.750 0.481 0.600
0.750 0.332 0.010
0.750 0.832 0.490
0.250 0.312 0.811
0.750 0.688 0.189
0.250 0.019 0.100
0.750 0.188 0.311
0.250 0.168 0.510
0.250 0.812 0.689
0.750 0.337 0.452
0.250 0.163 0.952
0.750 0.837 0.048
0.250 0.663 0.548
0.750 0.614 0.818
0.250 0.386 0.182
0.250 0.886 0.318
0.750 0.114 0.682
```

Values from the calculation:
Polymorph energy (0 for the lowest one) = 0.03 eV/f.u.

=====

# 2
A plane-wave DFT calculation with PBE was carried out for LaTaFe after structural relaxation.

```
LaTaFe
1.0
-2.751 2.932 0.660
-0.764 -3.818 1.201
1.987 0.921 4.191
La Fe Ta
1 1 1
direct
0.667 0.333 0.016
0.000 0.000 0.460
0.333 0.667 0.524
```

Values from the calculation:
Polymorph energy (0 for the lowest one) = 0.41 eV/f.u.
Formation enthalpy at 0 K = 354 meV/atom

=====

# 3
A plane-wave DFT calculation with PBE was carried out for SiHg2Rh after structural relaxation.

```
SiHg2Rh
1.0
-2.651 -3.725 2.544
2.212 -4.731 -0.323
1.723 4.770 1.252
Rh Hg Si
1 2 1
direct
0.750 0.250 0.500
0.500 0.500 0.000
0.000 0.000 0.000
0.250 0.750 0.500
```

Values from the calculation:
VASP energy = -12.173 eV for the cell shown

=====

# 4
A plane-wave DFT calculation with PBE was carried out for CaBi2As after structural relaxation.

```
CaBi2As
1.0
5.021 0.000 0.000
2.511 4.349 0.000
2.511 1.450 8.240
Bi Ca As
2 1 1
direct
0.131 0.131 0.606
0.869 0.869 0.394
0.000 0.000 0.000
0.500 0.500 0.500
```

Values from the calculation:
Formation enthalpy at 0 K = 334 meV/atom

=====

# 5
A plane-wave DFT calculation with PBE was carried out for PrHoCuIr after structural relaxation.

```
PrHoCuIr
1.0
3.915 0.000 0.000
0.000 4.342 0.000
-1.958 0.000 5.340
Ir Ho Pr Cu
1 1 1 1
direct
0.421 0.000 0.842
0.866 0.500 0.731
0.143 0.000 0.287
0.570 0.500 0.140
```

Values from the calculation:
Polymorph energy (0 for the lowest one) = 0.00 eV/f.u.
Formation enthalpy at 0 K = -504 meV/atom

=====

# 6
A plane-wave DFT calculation with PBE was carried out for Sr2ZrUAs4 after structural relaxation.

```
Sr2ZrUAs4
1.0
-2.994 1.533 -2.435
-3.154 -6.422 -0.165
-2.753 3.849 5.807
As Zr Sr U
4 1 2 1
direct
0.500 0.234 0.213
0.000 0.255 0.785
0.000 0.745 0.215
0.500 0.766 0.787
0.000 0.000 0.000
0.000 0.500 0.500
0.500 0.000 0.500
0.500 0.500 0.000
```

Values from the calculation:
Formation enthalpy at 0 K = -1053 meV/atom

=====

# 7
A plane-wave DFT calculation with PBE was carried out for SrTlInSn after structural relaxation.

```
SrTlInSn
1.0
5.038 0.000 0.000
0.000 4.723 0.000
0.000 0.000 4.960
Sr In Sn Tl
1 1 1 1
direct
0.500 0.000 0.500
0.000 0.000 0.000
0.000 0.500 0.500
0.500 0.500 0.000
```

Values from the calculation:
Polymorph energy (0 for the lowest one) = 0.00 eV/f.u.
Formation enthalpy at 0 K = -324 meV/atom

=====

# 8
A plane-wave DFT calculation with PBE was carried out for ScNiW after structural relaxation.

```
ScNiW
1.0
4.487 0.000 0.000
-2.243 3.885 0.000
0.000 0.000 2.770
Ni W Sc
1 1 1
direct
0.000 0.000 0.833
0.333 0.667 0.834
0.667 0.333 0.333
```

Values from the calculation:
Polymorph energy (0 for the lowest one) = 0.75 eV/f.u.
Formation enthalpy at 0 K = 244 meV/atom

=====

# 9
A plane-wave DFT calculation with PBE was carried out for SrZn3F8 after structural relaxation.

```
SrZn3F8
1.0
-3.436 3.718 -1.862
-0.470 -1.814 5.058
4.403 5.209 2.277
Zn F Sr
3 8 1
direct
0.333 0.667 0.238
0.000 0.000 0.000
0.667 0.333 0.762
0.723 0.708 0.814
0.292 0.014 0.814
0.986 0.277 0.814
0.667 0.333 0.497
0.014 0.723 0.186
0.708 0.986 0.186
0.277 0.292 0.186
0.333 0.667 0.503
0.000 0.000 0.500
```

Values from the calculation:
VASP energy = -51.399 eV for the cell shown

=====

# 10
A plane-wave DFT calculation with PBE was carried out for AgSn2F6 after structural relaxation.

```
AgSn2F6
1.0
6.614 -0.233 -2.425
-3.839 5.754 -1.352
0.358 0.377 7.758
F Sn Ag
12 4 2
direct
0.292 0.702 0.326
0.371 0.951 0.700
0.629 0.049 0.300
0.783 0.315 0.062
0.124 0.034 0.826
0.751 0.671 0.800
0.249 0.329 0.200
0.217 0.685 0.938
0.247 0.280 0.562
0.753 0.720 0.438
0.876 0.966 0.174
0.708 0.298 0.674
0.497 0.682 0.174
0.992 0.677 0.674
0.503 0.318 0.826
0.008 0.323 0.326
0.249 0.999 0.250
0.751 0.001 0.750
```

Values from the calculation:
VASP energy = -79.606 eV for the cell shown

=====

# 11
A plane-wave DFT calculation with PBE was carried out for Tl2SnSbS5 after structural relaxation.

```
Tl2SnSbS5
1.0
3.847 0.000 0.000
-1.924 9.401 0.000
0.000 0.000 13.640
S Tl Sb Sn
10 4 2 2
direct
0.321 0.641 0.381
0.036 0.072 0.038
0.679 0.359 0.881
0.656 0.311 0.505
0.344 0.689 0.005
0.292 0.584 0.660
0.964 0.928 0.538
0.708 0.416 0.160
0.514 0.028 0.280
0.486 0.972 0.780
0.136 0.272 0.326
0.864 0.728 0.826
0.882 0.764 0.177
0.118 0.236 0.677
0.217 0.433 0.032
0.783 0.567 0.532
0.447 0.893 0.426
0.553 0.107 0.926
```

Values from the calculation:
VASP energy = -71.952 eV for the cell shown

=====

# 12
A plane-wave DFT calculation with PBE was carried out for Sc4Cu2C after structural relaxation.

```
Sc4Cu2C
1.0
4.468 0.000 0.000
0.000 4.468 0.000
-2.234 -2.234 6.538
C Cu Sc
1 2 4
direct
0.000 0.000 0.000
0.626 0.626 0.253
0.374 0.374 0.747
0.000 0.500 0.000
0.174 0.174 0.348
0.826 0.826 0.652
0.500 0.000 0.000
```

Values from the calculation:
Formation enthalpy at 0 K = -182 meV/atom

=====

# 13
A plane-wave DFT calculation with PBE was carried out for YRh2Se after structural relaxation.

```
YRh2Se
1.0
-3.830 2.997 2.101
-4.526 -2.560 1.012
5.170 -0.299 1.116
Se Rh Y
1 2 1
direct
0.524 0.524 0.000
0.986 0.986 0.000
0.729 0.229 0.500
0.261 0.761 0.500
```

Values from the calculation:
VASP energy = -27.001 eV for the cell shown

=====

# 14
A plane-wave DFT calculation with PBE was carried out for CaHgBiAu after structural relaxation.

```
CaHgBiAu
1.0
-4.520 -1.132 -2.394
-3.968 -2.058 2.733
-4.273 2.869 0.979
Hg Bi Ca Au
1 1 1 1
direct
0.250 0.250 0.250
0.500 0.500 0.500
0.000 0.000 0.000
0.750 0.750 0.750
```

Values from the calculation:
Formation enthalpy at 0 K = -439 meV/atom

=====

# 15
A plane-wave DFT calculation with PBE was carried out for Zr3TlOs2 after structural relaxation.

```
Zr3TlOs2
1.0
-1.786 -2.464 -1.085
1.398 -1.961 2.153
-8.075 2.530 7.550
Zr Tl Os
3 1 2
direct
0.000 0.000 0.705
0.000 0.000 0.295
0.000 0.000 0.000
0.500 0.500 0.500
0.500 0.500 0.851
0.500 0.500 0.149
```

Values from the calculation:
Formation enthalpy at 0 K = -355 meV/atom

=====

# 16
A plane-wave DFT calculation with PBE was carried out for NaBe2Tl after structural relaxation.

```
NaBe2Tl
1.0
-2.608 -3.535 -0.608
2.447 -2.304 2.893
-5.218 -0.243 7.620
Na Tl Be
2 2 4
direct
0.500 0.500 0.000
0.250 0.750 0.500
0.750 0.250 0.500
0.000 0.000 0.000
0.875 0.625 0.250
0.875 0.125 0.250
0.375 0.125 0.750
0.875 0.125 0.750
```

Values from the calculation:
Polymorph energy (0 for the lowest one) = 0.00 eV/f.u.
Formation enthalpy at 0 K = 609 meV/atom

=====

# 17
A plane-wave DFT calculation with PBE was carried out for Rb2SrSn2 after structural relaxation.

```
Rb2SrSn2
1.0
8.795 0.000 0.000
0.000 8.795 0.000
0.000 0.000 6.020
Sr Sn Rb
2 4 4
direct
0.500 0.500 0.000
0.000 0.000 0.000
0.888 0.612 0.000
0.112 0.388 0.000
0.388 0.888 0.000
0.612 0.112 0.000
0.325 0.175 0.500
0.675 0.825 0.500
0.175 0.675 0.500
0.825 0.325 0.500
```

Values from the calculation:
Polymorph energy (0 for the lowest one) = 0.08 eV/f.u.
Formation enthalpy at 0 K = -149 meV/atom

=====

# 18
A plane-wave DFT calculation with PBE was carried out for MgPbAu2 after structural relaxation.

```
MgPbAu2
1.0
5.392 -0.152 -0.407
2.108 4.965 0.407
-3.522 -2.761 3.038
Pb Au Mg
1 2 1
direct
0.750 0.250 0.500
0.251 0.751 0.500
0.001 0.001 0.000
0.499 0.499 0.000
```

Values from the calculation:
Formation enthalpy at 0 K = -191 meV/atom

=====

# 19
A plane-wave DFT calculation with PBE was carried out for Zn2RuPb after structural relaxation.

```
Zn2RuPb
1.0
-3.382 0.153 -3.784
2.110 -1.020 -4.505
0.096 -2.321 4.515
Zn Ru Pb
2 1 1
direct
0.750 0.250 0.500
0.000 0.000 0.000
0.250 0.750 0.500
0.500 0.500 0.000
```

Values from the calculation:
Formation enthalpy at 0 K = 227 meV/atom

=====

# 20
A plane-wave DFT calculation with PBE was carried out for CsPm2MgTe4 after structural relaxation.

```
CsPm2MgTe4
1.0
-0.550 -0.518 -4.501
6.014 -5.345 2.194
-11.089 -11.382 2.664
Te Mg Cs Pm
8 2 2 4
direct
0.740 0.479 0.894
0.570 0.139 0.250
0.260 0.521 0.106
0.740 0.479 0.606
0.000 0.000 0.000
0.260 0.521 0.394
0.430 0.861 0.750
0.000 0.000 0.500
0.832 0.664 0.750
0.168 0.336 0.250
0.887 0.773 0.250
0.113 0.227 0.750
0.625 0.250 0.448
0.625 0.250 0.052
0.375 0.750 0.552
0.375 0.750 0.948
```

Values from the calculation:
VASP energy = -68.695 eV for the cell shown